No. 1
Density functional theory data (GGA-PBE) for a geometry-optimized Pm2Zn4RhAu3 structure.

Total DFT energy (no corrections) = -36.9 eV per cell
Energy relative to the elements = -0.51 eV/atom

a = 4.1902 Å, b = 4.1902 Å, c = 11.2811 Å
α = 90.00°, β = 90.00°, γ = 90.00°
Space group P-4m2 (No. 115)
Unique sites:
Pm1 0.0000 0.5000 0.2390
Zn1 0.0000 0.0000 0.5000
Zn2 0.0000 0.5000 0.8694
Zn3 0.5000 0.5000 0.5000
Rh1 0.5000 0.5000 0.0000
Au1 0.0000 0.0000 0.0000
Au2 0.0000 0.5000 0.6440


No. 2
Density functional theory data (GGA-PBE) for a geometry-optimized K2BHI structure.

Total DFT energy (no corrections) = -12.4 eV per cell

a = 5.9747 Å, b = 5.9747 Å, c = 3.6610 Å
α = 90.00°, β = 90.00°, γ = 90.00°
Space group P4/mmm (No. 123)
Unique sites:
K1 0.0000 0.5000 0.0000
B1 0.0000 0.0000 0.5000
H1 0.0000 0.0000 0.0000
I1 0.5000 0.5000 0.5000